UAlV4: optimized geometry, PBE-GGA.

Cell: 7.2601 7.2601 7.2601 Å, 90.00 90.00 90.00°
Space group F-43m (No. 216)
Symmetry-distinct sites (fractional):
U (0.0000, 0.0000, 0.0000) (multiplicity 4)
Al (0.2500, 0.2500, 0.7500) (multiplicity 4)
V (0.1273, 0.1273, 0.3727) (multiplicity 16)

Results
Electronic total energy, Ry/atom: -0.6136
Calculated volume, Å³ per atom: 15.94
Calculated formation energy, eV per formula unit: 1.412
Size of the total moment, Bohr magnetons per cell: 5.0
DOS(E_F), states/eV/atom: 1.77